[1]
K2Tl2Se2S: relaxed, PBE-GGA.

a = 14.9324 Å, b = 4.3570 Å, c = 8.4094 Å
α = 90.00°, β = 119.44°, γ = 90.00°
Space group C2/m (No. 12)
One atom of each set of equivalent atoms:
1 K 0.0353 0.0000 0.2584 [4 per cell]
2 Tl 0.1951 0.5000 0.7770 [4 per cell]
3 Se 0.1578 0.5000 0.1025 [4 per cell]
4 S 0.0000 0.5000 0.5000 [2 per cell]

Electronic total energy, eV per cell: -45.6
Formation energy without anion corrections, eV/f.u.: -4.79
Calculated volume, A^3/atom: 34.032
Magnetic moment, μB per atom: 0.000

[2]
KUSe3S: relaxed, PBE-GGA.

a = 8.5529 Å, b = 4.0483 Å, c = 10.6054 Å
α = 90.00°, β = 109.80°, γ = 90.00°
Space group P2_1/m (No. 11)
One atom of each set of equivalent atoms:
1 K 0.2474 0.2500 0.3119 [2 per cell]
2 U 0.3187 0.7500 0.8185 [2 per cell]
3 Se 0.0991 0.2500 0.8927 [2 per cell]
4 Se 0.3430 0.7500 0.5782 [2 per cell]
5 Se 0.4333 0.7500 0.1167 [2 per cell]
6 S 0.1164 0.2500 0.6857 [2 per cell]

Electronic total energy, eV per cell: -65.8
Formation energy without anion corrections, eV/f.u.: -5.93
Calculated volume, A^3/atom: 28.791
Magnetic moment, μB per atom: 0.167

[3]
KUSe2S: relaxed, PBE-GGA.

a = 8.7852 Å, b = 4.2206 Å, c = 8.8930 Å
α = 90.00°, β = 100.29°, γ = 90.00°
Space group P2_1/m (No. 11)
One atom of each set of equivalent atoms:
1 K 0.1988 0.2500 0.3440 [2 per cell]
2 U 0.3455 0.2500 0.8248 [2 per cell]
3 Se 0.3307 0.7500 0.0412 [2 per cell]
4 Se 0.3959 0.7500 0.6379 [2 per cell]
5 S 0.0715 0.2500 0.7310 [2 per cell]

Electronic total energy, eV per cell: -58.6
Formation energy without anion corrections, eV/f.u.: -5.84
Calculated volume, A^3/atom: 32.444
Magnetic moment, μB per atom: 0.200

[4]
KU2SeS4: relaxed, PBE-GGA.

a = 4.3133 Å, b = 4.3133 Å, c = 10.8456 Å
α = 90.00°, β = 90.00°, γ = 90.00°
Space group P4/mmm (No. 123)
One atom of each set of equivalent atoms:
1 K 0.0000 0.0000 0.0000 [1 per cell]
2 U 0.5000 0.5000 0.3539 [2 per cell]
3 Se 0.0000 0.0000 0.5000 [1 per cell]
4 S 0.0000 0.5000 0.2206 [4 per cell]

Electronic total energy, eV per cell: -51.0
Formation energy without anion corrections, eV/f.u.: -7.33
Calculated volume, A^3/atom: 25.222
Magnetic moment, μB per atom: 0.416

[5]
KU2Se6S2: relaxed, PBE-GGA.

a = 7.6094 Å, b = 7.6487 Å, c = 8.3475 Å
α = 64.80°, β = 88.66°, γ = 64.17°
Space group P-1 (No. 2)
One atom of each set of equivalent atoms:
1 K 0.0000 0.0000 0.0000 [1 per cell]
2 U 0.2491 0.4974 0.6034 [2 per cell]
3 Se 0.1409 0.2188 0.5663 [2 per cell]
4 Se 0.2601 0.3338 0.9674 [2 per cell]
5 Se 0.3564 0.7817 0.3498 [2 per cell]
6 S 0.2617 0.6524 0.8197 [2 per cell]

Electronic total energy, eV per cell: -61.3
Formation energy without anion corrections, eV/f.u.: -8.46
Calculated volume, A^3/atom: 35.253
Magnetic moment, μB per atom: 0.092

[6]
K2USeS4: relaxed, PBE-GGA.

a = 7.6877 Å, b = 7.6877 Å, c = 7.9320 Å
α = 90.00°, β = 90.00°, γ = 90.00°
Space group I-4 (No. 82)
One atom of each set of equivalent atoms:
1 K 0.0000 0.0000 0.0000 [2 per cell]
2 K 0.0000 0.5000 0.2500 [2 per cell]
3 U 0.0000 0.5000 0.7500 [2 per cell]
4 Se 0.0000 0.0000 0.5000 [2 per cell]
5 S 0.1650 0.2841 0.5561 [8 per cell]

Electronic total energy, eV per cell: -79.1
Formation energy without anion corrections, eV/f.u.: -6.05
Calculated volume, A^3/atom: 29.299
Magnetic moment, μB per atom: 0.250

[7]
K2USeS2: relaxed, PBE-GGA.

a = 4.5856 Å, b = 4.5856 Å, c = 17.7713 Å
α = 90.00°, β = 90.00°, γ = 90.00°
Space group I4/mmm (No. 139)
One atom of each set of equivalent atoms:
1 K 0.0000 0.5000 0.2500 [4 per cell]
2 U 0.0000 0.0000 0.0000 [2 per cell]
3 Se 0.0000 0.0000 0.5000 [2 per cell]
4 S 0.0000 0.0000 0.1429 [4 per cell]

Electronic total energy, eV per cell: -61.0
Formation energy without anion corrections, eV/f.u.: -5.30
Calculated volume, A^3/atom: 31.142
Magnetic moment, μB per atom: 0.333

[8]
KV2SeS: relaxed, PBE-GGA.

a = 4.5939 Å, b = 4.5939 Å, c = 5.9930 Å
α = 90.00°, β = 90.00°, γ = 90.00°
Space group P4/mmm (No. 123)
One atom of each set of equivalent atoms:
1 K 0.0000 0.0000 0.0000 [1 per cell]
2 V 0.0000 0.5000 0.5000 [2 per cell]
3 Se 0.5000 0.5000 0.0000 [1 per cell]
4 S 0.5000 0.5000 0.5000 [1 per cell]

Electronic total energy, eV per cell: -25.6
Formation energy without anion corrections, eV/f.u.: 1.38
Calculated volume, A^3/atom: 25.296
Magnetic moment, μB per atom: 1.298

[9]
KYSeS: relaxed, PBE-GGA.

a = 4.1102 Å, b = 4.1102 Å, c = 23.1058 Å
α = 90.00°, β = 90.00°, γ = 120.00°
Space group R3m (No. 160, hexagonal axes)
One atom of each set of equivalent atoms:
1 K 0.0000 0.0000 0.0000 [3 per cell]
2 Y 0.0000 0.0000 0.1645 [3 per cell]
3 Se 0.0000 0.0000 0.5689 [3 per cell]
4 S 0.0000 0.0000 0.7678 [3 per cell]

Electronic total energy, eV per cell: -67.1
Formation energy without anion corrections, eV/f.u.: -7.20
Calculated volume, A^3/atom: 28.171
Magnetic moment, μB per atom: 0.000

[10]
K2Zn2Se2S: relaxed, PBE-GGA.

a = 13.5571 Å, b = 4.1317 Å, c = 7.9964 Å
α = 90.00°, β = 122.72°, γ = 90.00°
Space group C2/m (No. 12)
One atom of each set of equivalent atoms:
1 K 0.0641 0.0000 0.3303 [4 per cell]
2 Zn 0.1887 0.5000 0.0699 [4 per cell]
3 Se 0.1917 0.5000 0.7498 [4 per cell]
4 S 0.0000 0.5000 0.0000 [2 per cell]

Electronic total energy, eV per cell: -44.9
Formation energy without anion corrections, eV/f.u.: -6.63
Calculated volume, A^3/atom: 26.918
Magnetic moment, μB per atom: 0.000

[11]
K2Zn2SeS2: relaxed, PBE-GGA.

a = 13.7517 Å, b = 3.9938 Å, c = 8.2068 Å
α = 90.00°, β = 125.86°, γ = 90.00°
Space group C2/m (No. 12)
One atom of each set of equivalent atoms:
1 K 0.0604 0.0000 0.2693 [4 per cell]
2 Zn 0.1974 0.5000 0.8214 [4 per cell]
3 Se 0.0000 0.5000 0.5000 [2 per cell]
4 S 0.1852 0.5000 0.1084 [4 per cell]

Electronic total energy, eV per cell: -45.9
Formation energy without anion corrections, eV/f.u.: -6.44
Calculated volume, A^3/atom: 26.093
Magnetic moment, μB per atom: 0.000

[12]
KZrSe2S: relaxed, PBE-GGA.

a = 5.3103 Å, b = 5.3103 Å, c = 5.0510 Å
α = 90.00°, β = 90.00°, γ = 90.00°
Space group P4/mmm (No. 123)
One atom of each set of equivalent atoms:
1 K 0.0000 0.0000 0.0000 [1 per cell]
2 Zr 0.5000 0.5000 0.5000 [1 per cell]
3 Se 0.0000 0.5000 0.5000 [2 per cell]
4 S 0.5000 0.5000 0.0000 [1 per cell]

Electronic total energy, eV per cell: -26.3
Formation energy without anion corrections, eV/f.u.: -5.53
Calculated volume, A^3/atom: 28.487
Magnetic moment, μB per atom: 0.000

[13]
K3SiS: relaxed, PBE-GGA.

a = 6.0563 Å, b = 6.0563 Å, c = 6.0563 Å
α = 90.00°, β = 90.00°, γ = 90.00°
Space group Pm-3m (No. 221)
One atom of each set of equivalent atoms:
1 K 0.0000 0.0000 0.5000 [3 per cell]
2 Si 0.5000 0.5000 0.5000 [1 per cell]
3 S 0.0000 0.0000 0.0000 [1 per cell]

Electronic total energy, eV per cell: -13.6
Formation energy without anion corrections, eV/f.u.: -0.73
Calculated volume, A^3/atom: 44.427
Magnetic moment, μB per atom: 0.600

[14]
K2SiS: relaxed, PBE-GGA.

a = 12.0164 Å, b = 12.0164 Å, c = 4.6687 Å
α = 90.00°, β = 90.00°, γ = 90.00°
Space group I-42d (No. 122)
One atom of each set of equivalent atoms:
1 K 0.0468 0.7500 0.1250 [8 per cell]
2 Si 0.0000 0.0000 0.5000 [4 per cell]
3 S 0.0000 0.0000 0.0000 [4 per cell]

Electronic total energy, eV per cell: -48.6
Formation energy without anion corrections, eV/f.u.: -0.40
Calculated volume, A^3/atom: 42.134
Magnetic moment, μB per atom: 0.000

[15]
K5SiS4: relaxed, PBE-GGA.

a = 9.2302 Å, b = 9.9689 Å, c = 7.3250 Å
α = 90.00°, β = 90.00°, γ = 90.00°
Space group Pmmn (No. 59, origin choice 2)
One atom of each set of equivalent atoms:
1 K 0.0114 0.0630 0.2325 [8 per cell]
2 K 0.2500 0.2500 0.6601 [2 per cell]
3 Si 0.2500 0.7500 0.3146 [2 per cell]
4 S 0.0575 0.7500 0.1436 [4 per cell]
5 S 0.2500 0.5720 0.4855 [4 per cell]

Electronic total energy, eV per cell: -74.2
Formation energy without anion corrections, eV/f.u.: -9.70
Calculated volume, A^3/atom: 33.700
Magnetic moment, μB per atom: 0.082

[16]
KSiS4: relaxed, PBE-GGA.

a = 7.7606 Å, b = 25.1337 Å, c = 5.4635 Å
α = 90.00°, β = 134.18°, γ = 90.00°
Space group C2/c (No. 15)
One atom of each set of equivalent atoms:
1 K 0.0000 0.0749 0.2500 [4 per cell]
2 Si 0.0000 0.2503 0.7500 [4 per cell]
3 S 0.1774 0.4711 0.9265 [8 per cell]
4 S 0.2468 0.2029 0.2045 [8 per cell]

Electronic total energy, eV per cell: -105.7
Formation energy without anion corrections, eV/f.u.: -3.40
Calculated volume, A^3/atom: 31.844
Magnetic moment, μB per atom: 0.000

[17]
K2SiS: relaxed, PBE-GGA.

a = 7.8208 Å, b = 7.8208 Å, c = 7.8208 Å
α = 90.00°, β = 90.00°, γ = 90.00°
Space group Fm-3m (No. 225)
One atom of each set of equivalent atoms:
1 K 0.2500 0.2500 0.2500 [8 per cell]
2 Si 0.0000 0.0000 0.0000 [4 per cell]
3 S 0.0000 0.0000 0.5000 [4 per cell]

Electronic total energy, eV per cell: -44.7
Formation energy without anion corrections, eV/f.u.: 0.58
Calculated volume, A^3/atom: 29.898
Magnetic moment, μB per atom: 0.500

[18]
KSi2S2: relaxed, PBE-GGA.

a = 4.6846 Å, b = 4.6846 Å, c = 10.5767 Å
α = 90.00°, β = 90.00°, γ = 90.00°
Space group I4/mmm (No. 139)
One atom of each set of equivalent atoms:
1 K 0.0000 0.0000 0.0000 [2 per cell]
2 Si 0.0000 0.0000 0.3298 [4 per cell]
3 S 0.0000 0.5000 0.2500 [4 per cell]

Electronic total energy, eV per cell: -42.0
Formation energy without anion corrections, eV/f.u.: -0.81
Calculated volume, A^3/atom: 23.211
Magnetic moment, μB per atom: 0.000

[19]
KSi2S: relaxed, PBE-GGA.

a = 7.8801 Å, b = 7.8801 Å, c = 6.1544 Å
α = 90.00°, β = 90.00°, γ = 90.00°
Space group I-42d (No. 122)
One atom of each set of equivalent atoms:
1 K 0.0000 0.0000 0.0000 [4 per cell]
2 Si 0.1635 0.7500 0.6250 [8 per cell]
3 S 0.0000 0.0000 0.5000 [4 per cell]

Electronic total energy, eV per cell: -58.1
Formation energy without anion corrections, eV/f.u.: 1.54
Calculated volume, A^3/atom: 23.886
Magnetic moment, μB per atom: 0.000

[20]
K2Si2S5: relaxed, PBE-GGA.

a = 12.0907 Å, b = 4.8328 Å, c = 8.0351 Å
α = 90.00°, β = 98.73°, γ = 90.00°
Space group C2/m (No. 12)
One atom of each set of equivalent atoms:
1 K 0.0915 0.0000 0.3233 [4 per cell]
2 Si 0.1567 0.5000 0.8894 [4 per cell]
3 S 0.0000 0.5000 0.0000 [2 per cell]
4 S 0.1300 0.5000 0.6314 [4 per cell]
5 S 0.1866 0.0000 0.9431 [4 per cell]

Electronic total energy, eV per cell: -80.7
Formation energy without anion corrections, eV/f.u.: -6.66
Calculated volume, A^3/atom: 25.782
Magnetic moment, μB per atom: 0.000